Run i
A plane-wave DFT calculation with GGA-PBE was carried out for crystalline Li6Ag at its relaxed geometry.

Cell: 5.777 5.777 5.777 Å, 109.47 109.47 109.47°
Sites, in units of the cell vectors:
Li 0.250 0.500 0.750
Ag 0.000 0.000 0.000
Li 0.250 0.750 0.500
Li 0.750 0.250 0.500
Li 0.500 0.250 0.750
Li 0.750 0.500 0.250
Li 0.500 0.750 0.250

Output
magnetization = 0.00 μB/f.u.
crystal system = cubic

---

Run ii
A plane-wave DFT calculation with GGA-PBE was carried out for crystalline Li6Ag at its relaxed geometry.

Cell: 4.662 4.662 7.202 Å, 71.12 71.12 60.00°
Sites, in units of the cell vectors:
Li 0.288 0.288 0.136
Li 0.424 0.424 0.727
Li 0.862 0.862 0.413
Li 0.138 0.138 0.587
Ag 0.000 0.000 0.000
Li 0.712 0.712 0.864
Li 0.576 0.576 0.273

Output
magnetization = 0.00 μB/f.u.
crystal system = trigonal

---

Run iii
A plane-wave DFT calculation with GGA-PBE was carried out for crystalline Li6Ag at its relaxed geometry.

Cell: 4.517 4.517 6.592 Å, 90.00 90.00 90.00°
Sites, in units of the cell vectors:
Li 0.000 0.500 0.250
Li 0.500 0.000 0.750
Ag 0.000 0.000 0.000
Li 0.500 0.500 0.000
Li 0.000 0.500 0.750
Li 0.000 0.000 0.500
Li 0.500 0.000 0.250

Output
magnetization = 0.00 μB/f.u.
crystal system = tetragonal

---

Of the structures shown above, run i is the least stable.